Entry 1:
First-principles (PBE-GGA) data for a geometry-optimized MgCoRh2 structure, as listed in Alexandria.

**Mass density**: 8.4 g cm⁻³
**Total magnetic moment**: 3.2 μB/f.u.
**ΔH_f (0 K)**: -0.049 eV/atom
**Crystal system**: trigonal
**Energy**: -23.6 eV per formula unit

```
MgCoRh2
1.0
1.3938 0.8047 8.4700
-1.3938 0.8047 8.4700
0.0000 -1.6094 8.4700
Mg Co Rh
1 1 2
Cartesian
0.0000 0.0000 0.0000
0.0000 0.0000 12.7050
0.0000 0.0000 6.2590
0.0000 0.0000 19.1511
```

Entry 2:
First-principles (PBE-GGA) data for a geometry-optimized MgCoRh2 structure, as listed in Alexandria.

**Mass density**: 8.5 g cm⁻³
**Total magnetic moment**: 3.5 μB/f.u.
**ΔH_f (0 K)**: -0.165 eV/atom
**Crystal system**: tetragonal
**Energy**: -24.1 eV per formula unit

```
MgCoRh2
1.0
3.0002 0.0000 0.0000
0.0000 3.0002 0.0000
0.0000 0.0000 6.2604
Mg Co Rh
1 1 2
Cartesian
0.0000 0.0000 0.0000
0.0000 0.0000 3.1302
1.5001 1.5001 1.6673
1.5001 1.5001 4.5931
```

Entry 3:
First-principles (PBE-GGA) data for a geometry-optimized MgCoRh2 structure, as listed in Alexandria.

**Mass density**: 8.4 g cm⁻³
**Total magnetic moment**: 2.7 μB/f.u.
**ΔH_f (0 K)**: -0.042 eV/atom
**Crystal system**: orthorhombic
**Energy**: -23.6 eV per formula unit

```
MgCoRh2
1.0
-1.4568 2.2675 4.3105
1.4568 -2.2675 4.3105
1.4568 2.2675 -4.3105
Mg Co Rh
1 1 2
Cartesian
0.0000 0.0000 0.0000
0.0000 0.0000 4.3105
1.4568 0.0000 2.2589
0.0000 2.2675 2.0516
```

Entry 4:
First-principles (PBE-GGA) data for a geometry-optimized MgCo2Rh2 structure, as listed in Alexandria.

**Mass density**: 7.9 g cm⁻³
**Total magnetic moment**: 4.7 μB/f.u.
**Relative energy among the computed polymorphs**: 0.128 eV/atom
**ΔH_f (0 K)**: 0.120 eV/atom
**Crystal system**: tetragonal
**Energy**: -29.9 eV per formula unit

```
MgCo2Rh2
1.0
-1.6573 1.6573 6.6524
1.6573 -1.6573 6.6524
1.6573 1.6573 -6.6524
Mg Co Rh
1 2 2
Cartesian
0.0000 0.0000 0.0000
1.6573 0.0000 3.3262
0.0000 1.6573 3.3262
0.0000 0.0000 5.2559
0.0000 0.0000 8.0489
```

Entry 5:
First-principles (PBE-GGA) data for a geometry-optimized MgCoRh2 structure, as listed in Alexandria.

**Mass density**: 8.5 g cm⁻³
**Total magnetic moment**: 2.4 μB/f.u.
**ΔH_f (0 K)**: -0.095 eV/atom
**Crystal system**: monoclinic
**Energy**: -23.8 eV per formula unit

```
MgCoRh2
1.0
4.3819 -1.3732 0.0000
4.3819 1.3732 0.0000
-0.8680 0.0000 4.6762
Mg Co Rh
1 1 2
Cartesian
0.0000 0.0000 0.0000
3.9479 0.0000 2.3381
1.4924 0.0000 3.4521
6.4035 0.0000 1.2241
```

Entry 6:
First-principles (PBE-GGA) data for a geometry-optimized MgCoRh2 structure, as listed in Alexandria.

**Mass density**: 8.5 g cm⁻³
**Total magnetic moment**: 2.5 μB/f.u.
**ΔH_f (0 K)**: -0.031 eV/atom
**Crystal system**: orthorhombic
**Energy**: -23.5 eV per formula unit

```
MgCoRh2
1.0
2.8974 0.0000 0.0000
0.0000 4.2803 0.0000
0.0000 0.0000 4.5517
Mg Co Rh
1 1 2
Cartesian
0.0000 0.0000 0.0000
1.4487 0.0000 2.2758
0.0000 2.1402 2.2758
1.4487 2.1402 0.0000
```

Entry 7:
First-principles (PBE-GGA) data for a geometry-optimized MgCoRh structure, as listed in Alexandria.

**Mass density**: 7.0 g cm⁻³
**Total magnetic moment**: 1.6 μB/f.u.
**Relative energy among the computed polymorphs**: 0.000 eV/atom
**ΔH_f (0 K)**: -0.157 eV/atom
**Crystal system**: orthorhombic
**Energy**: -16.5 eV per formula unit

```
MgCoRh
1.0
-2.3642 2.6742 3.5076
2.3642 -2.6742 3.5076
2.3642 2.6742 -3.5076
Mg Co Rh
2 2 2
Cartesian
0.0000 1.3371 0.8678
2.3642 1.3371 2.6398
1.1821 1.3371 -1.7538
1.1821 -1.3371 1.7538
2.3642 0.0000 0.0000
0.0000 0.0000 3.5076
```

Entry 8:
First-principles (PBE-GGA) data for a geometry-optimized MgCo2Rh2 structure, as listed in Alexandria.

**Mass density**: 8.2 g cm⁻³
**Total magnetic moment**: 4.3 μB/f.u.
**Relative energy among the computed polymorphs**: 0.000 eV/atom
**ΔH_f (0 K)**: -0.008 eV/atom
**Crystal system**: tetragonal
**Energy**: -30.6 eV per formula unit

```
MgCo2Rh2
1.0
7.1454 0.0000 0.0000
0.0000 7.1454 0.0000
0.0000 0.0000 2.7539
Mg Co Rh
2 4 4
Cartesian
0.0000 0.0000 0.0000
3.5727 3.5727 0.0000
0.8427 2.7300 0.0000
2.7300 6.3027 0.0000
4.4154 0.8427 0.0000
6.3027 4.4154 0.0000
1.2607 4.8334 1.3769
2.3120 1.2607 1.3769
4.8334 5.8848 1.3769
5.8848 2.3120 1.3769
```